Arrangement a

This record from the Alexandria database describes an optimized crystal structure of LaMoBr. The functional is PBE-GGA.

## Properties
Space-group type: F-43m
V (Å³ per atom): 32.840
DOS(E_F) (states/eV/f.u.): 2.8
ρ (g cm⁻³): 5.31

Cell lengths 5.184, 5.184, 5.184 Å; angles 60.00, 60.00, 60.00 degrees
Each line ends with the local moment (μB).
Element x y z (fractional)
Mo 0.000 0.000 0.000  3.14
Br 0.500 0.500 0.500  0.08
La 0.750 0.750 0.750  0.12

=====

Arrangement b

This record from the Alexandria database describes an optimized crystal structure of LaMoBr. The functional is PBE-GGA.

## Properties
Space-group type: P3m1
V (Å³ per atom): 25.749
DOS(E_F) (states/eV/f.u.): 1.5
ρ (g cm⁻³): 6.77

Cell lengths 3.549, 3.549, 7.082 Å; angles 90.00, 90.00, 120.00 degrees
Each line ends with the local moment (μB).
Element x y z (fractional)
Mo 0.667 0.333 0.668  1.82
Br 0.000 0.000 0.988  0.06
La 0.333 0.667 0.344  0.00

=====

Arrangement c

This record from the Alexandria database describes an optimized crystal structure of LaMoBr. The functional is PBE-GGA.

## Properties
Space-group type: P-6m2
V (Å³ per atom): 22.987
DOS(E_F) (states/eV/f.u.): 4.1
ρ (g cm⁻³): 7.58

Cell lengths 4.698, 4.698, 3.608 Å; angles 90.00, 90.00, 120.00 degrees
Each line ends with the local moment (μB).
Element x y z (fractional)
Mo 0.333 0.667 0.833  1.33
Br 0.000 0.000 0.833  0.02
La 0.667 0.333 0.333  0.09

=====

Result of the stability comparison: arrangement a is the least stable of them.